No. 1
The following is a DFT calculation (GGA-PBE) of a relaxed structure of V2HPb.

Final energy = -85.18 eV for the cell shown
Density of states at the Fermi level = 5.6 states/eV/f.u.
Offset from the most stable computed form = 728 meV/atom
Crystal system = cubic
Size of the total moment = 1.781 μB/f.u.

CIF file:
```
data_V2HPb
_chemical_formula_sum 'V8 H4 Pb4'
_symmetry_space_group_name_H-M 'F m -3 m'
_symmetry_Int_Tables_number 225
_symmetry_space_group_name_Hall '-F 4 2 3'
_cell_length_a 6.259
_cell_length_b 6.259
_cell_length_c 6.259
_cell_angle_alpha 90.00
_cell_angle_beta 90.00
_cell_angle_gamma 90.00
loop_
_atom_site_label
_atom_site_type_symbol
_atom_site_fract_x
_atom_site_fract_y
_atom_site_fract_z
_atom_site_occupancy
V1 V 0.250 0.250 0.250 1
H1 H 0.000 0.000 0.000 1
Pb1 Pb 0.000 0.000 0.500 1
```


No. 2
The following is a DFT calculation (GGA-PBE) of a relaxed structure of BaCoBr3.

Final energy = -19.43 eV for the cell shown
Density of states at the Fermi level = 0.2 states/eV/f.u.
Offset from the most stable computed form = 0 meV/atom
Formation energy (no corrections) = -520 kJ/mol of formula units
Crystal system = cubic
Size of the total moment = 2.005 μB/f.u.

CIF file:
```
data_BaCoBr3
_chemical_formula_sum 'Ba1 Co1 Br3'
_symmetry_space_group_name_H-M 'P m -3 m'
_symmetry_Int_Tables_number 221
_symmetry_space_group_name_Hall '-P 4 2 3'
_cell_length_a 5.177
_cell_length_b 5.177
_cell_length_c 5.177
_cell_angle_alpha 90.00
_cell_angle_beta 90.00
_cell_angle_gamma 90.00
loop_
_atom_site_label
_atom_site_type_symbol
_atom_site_fract_x
_atom_site_fract_y
_atom_site_fract_z
_atom_site_occupancy
Ba1 Ba 0.000 0.000 0.000 1
Co1 Co 0.500 0.500 0.500 1
Br1 Br 0.000 0.500 0.500 1
```


No. 3
The following is a DFT calculation (GGA-PBE) of a relaxed structure of LiSn2Cl.

Final energy = -54.11 eV for the cell shown
Density of states at the Fermi level = 1.4 states/eV/f.u.
Offset from the most stable computed form = 0 meV/atom
Formation energy (no corrections) = -170 kJ/mol of formula units
Crystal system = tetragonal
Size of the total moment = 0.000 μB/f.u.

CIF file:
```
data_LiSn2Cl
_chemical_formula_sum 'Li4 Sn8 Cl4'
_symmetry_space_group_name_H-M 'I -4 2 d'
_symmetry_Int_Tables_number 122
_symmetry_space_group_name_Hall 'I -4 2bw'
_cell_length_a 4.061
_cell_length_b 4.061
_cell_length_c 27.529
_cell_angle_alpha 90.00
_cell_angle_beta 90.00
_cell_angle_gamma 90.00
loop_
_atom_site_label
_atom_site_type_symbol
_atom_site_fract_x
_atom_site_fract_y
_atom_site_fract_z
_atom_site_occupancy
Li1 Li 0.000 0.000 0.000 1
Sn1 Sn 0.246 0.250 0.125 1
Cl1 Cl 0.000 0.000 0.500 1
```


No. 4
The following is a DFT calculation (GGA-PBE) of a relaxed structure of SrSbPb.

Final energy = -43.23 eV for the cell shown
Density of states at the Fermi level = 2.1 states/eV/f.u.
Offset from the most stable computed form = 106 meV/atom
Formation energy (no corrections) = -125 kJ/mol of formula units
Crystal system = cubic
Size of the total moment = 0.000 μB/f.u.

CIF file:
```
data_SrSbPb
_chemical_formula_sum 'Sr4 Sb4 Pb4'
_symmetry_space_group_name_H-M 'F -4 3 m'
_symmetry_Int_Tables_number 216
_symmetry_space_group_name_Hall 'F -4 2 3'
_cell_length_a 7.752
_cell_length_b 7.752
_cell_length_c 7.752
_cell_angle_alpha 90.00
_cell_angle_beta 90.00
_cell_angle_gamma 90.00
loop_
_atom_site_label
_atom_site_type_symbol
_atom_site_fract_x
_atom_site_fract_y
_atom_site_fract_z
_atom_site_occupancy
Sr1 Sr 0.000 0.000 0.000 1
Sb1 Sb 0.250 0.250 0.750 1
Pb1 Pb 0.000 0.000 0.500 1
```